Crystalline ZnHg2As at its relaxed geometry. Source: Alexandria, functional PBE-GGA.

Values from the calculation:
- DOS at the Fermi energy: 1.470 states/eV/cell
- Symmetry: P4/mmm
- ΔH_f (0 K): 287 meV per atom
- E above lowest polymorph: 25.5 kJ/mol of atoms

Unit cell a=3.072 b=3.072 c=8.986 alpha=90.00 beta=90.00 gamma=90.00
Fractional positions:
Hg1 0.000 0.000 0.479
Hg2 0.000 0.000 0.021
As1 0.500 0.500 0.750
Zn1 0.500 0.500 0.250



Crystalline Zn2HgAs at its relaxed geometry. Source: Alexandria, functional PBE-GGA.

Values from the calculation:
- DOS at the Fermi energy: 1.358 states/eV/cell
- Symmetry: Pm
- ΔH_f (0 K): 107 meV per atom

Unit cell a=4.746 b=4.162 c=4.164 alpha=80.81 beta=90.00 gamma=90.00
Fractional positions:
Zn1 0.500 0.260 0.256
Zn2 0.000 0.023 0.029
Hg1 0.500 0.780 0.777
As1 0.000 0.436 0.439



Crystalline ZnHg2As at its relaxed geometry. Source: Alexandria, functional PBE-GGA.

Values from the calculation:
- DOS at the Fermi energy: 1.570 states/eV/cell
- Symmetry: Cmmm
- ΔH_f (0 K): 187 meV per atom
- E above lowest polymorph: 15.8 kJ/mol of atoms

Unit cell a=4.814 b=4.316 c=4.315 alpha=84.38 beta=90.00 gamma=90.00
Fractional positions:
Hg1 0.000 0.491 0.491
Hg2 0.000 0.009 0.009
As1 0.500 0.750 0.750
Zn1 0.500 0.250 0.250



Crystalline Zn2HgAs at its relaxed geometry. Source: Alexandria, functional PBE-GGA.

Values from the calculation:
- DOS at the Fermi energy: 1.253 states/eV/cell
- Symmetry: Imm2
- ΔH_f (0 K): 113 meV per atom

Unit cell a=6.801 b=6.801 c=6.801 alpha=151.14 beta=147.42 gamma=44.08
Fractional positions:
As1 0.533 0.533 0.000
Hg1 0.298 0.798 0.500
Zn1 0.975 0.975 0.000
Zn2 0.695 0.195 0.500



no.,V (Å³ per cell)
1,84.8
2,81.2
3,89.2
4,81.5